Compound: Y2TaW
Source: the Alexandria database
Functional: GGA-PBE
Structure: optimized geometry

Output
V = 87.8 Å³/cell
electronic total energy = -0.3272 Ha/atom
energy relative to the elements = 2.125 eV/f.u.
energy above the most stable polymorph in this dataset = 313.9 meV per atom
spin magnetization = 0.000 μB/f.u.

Lattice parameters (Å, degrees): 5.0116 5.0116 5.0116 120.89 120.89 88.46
Fractional positions:
Ta: 0.5000 0.5000 0.0000
W: 0.7500 0.2500 0.5000
Y: 0.0000 0.0000 0.0000
Y: 0.2500 0.7500 0.5000

Compound: PrNiAs
Source: the Alexandria database
Functional: GGA-PBE
Structure: optimized geometry

Output
V = 121.4 Å³/cell
electronic total energy = -0.2240 Ha/atom
energy relative to the elements = -3.078 eV/f.u.
spin magnetization = 0.000 μB/f.u.

Lattice parameters (Å, degrees): 4.1318 4.1318 8.2094 90.00 90.00 120.00
Fractional positions:
Pr: 0.0000 0.0000 0.5000
Pr: 0.0000 0.0000 0.0000
Ni: 0.3333 0.6667 0.2500
Ni: 0.6667 0.3333 0.7500
As: 0.6667 0.3333 0.2500
As: 0.3333 0.6667 0.7500